Material: Pa2Co3As4Ir
Method: DFT, PBE
State: relaxed

The calculation puts the total energy at -74.48 eV per formula unit. The value obtained for the magnetization is 1.849 μB per formula unit.

a = 4.1936 Å, b = 4.1936 Å, c = 9.2920 Å
α = 90.00°, β = 90.00°, γ = 90.00°
Space group P-4m2 (No. 115)
Inequivalent atoms, fractional coordinates:
Pa (0.0000, 0.5000, 0.2471) (multiplicity 2)
Co (0.0000, 0.5000, 0.8894) (multiplicity 2)
Co (0.5000, 0.5000, 0.5000) (multiplicity 1)
As (0.0000, 0.0000, 0.0000) (multiplicity 1)
As (0.0000, 0.5000, 0.6444) (multiplicity 2)
As (0.5000, 0.5000, 0.0000) (multiplicity 1)
Ir (0.0000, 0.0000, 0.5000) (multiplicity 1)